Below is HoNiSn at its PBEsol-relaxed geometry, with properties calculated at the meta-GGA SCAN level.

Cell lengths 6.9921, 4.3898, 7.5556 Å; angles 90.00, 90.00, 90.00 degrees
Last column: nearest neighbours and their distance in Å.
Fractional coordinates of all 12 atoms:
Ho (0.0140, 0.2500, 0.1984)  5 Ni 2.92-3.19, 6 Sn 3.07-3.16
Ho (0.4860, 0.7500, 0.6984)  5 Ni 2.92-3.19, 6 Sn 3.07-3.16
Ho (0.5140, 0.2500, 0.3016)  5 Ni 2.92-3.19, 6 Sn 3.07-3.16
Ho (0.9860, 0.7500, 0.8016)  5 Ni 2.92-3.19, 6 Sn 3.07-3.16
Ni (0.2047, 0.7500, 0.4127)  4 Sn 2.56-2.73
Ni (0.2953, 0.2500, 0.9127)  4 Sn 2.56-2.73
Ni (0.7047, 0.7500, 0.0873)  4 Sn 2.56-2.73
Ni (0.7953, 0.2500, 0.5873)  4 Sn 2.56-2.73
Sn (0.1851, 0.2500, 0.5854)  4 Ni 2.56-2.73
Sn (0.3149, 0.7500, 0.0854)  4 Ni 2.56-2.73
Sn (0.6851, 0.2500, 0.9146)  4 Ni 2.56-2.73
Sn (0.8149, 0.7500, 0.4146)  4 Ni 2.56-2.73

Calculated values
Fermi-level density of states	1.534	states/eV/f.u.
energy of formation from the pure elements	-0.748	eV per atom
total magnetic moment	0.000	μB/cell